First-principles (PBE) data for a relaxed structure of Y3TmPb4, as listed in Alexandria.

Properties
ΔE_f = -3.65 eV per formula unit
SG = Pmna
energy = -5.293 eV/atom

abc: 6.3966 6.3961 11.1585
angles: 90.00 90.00 90.00
Atoms (fractional coordinates):
Y 0.9999 0.3105 0.0000
Y 0.2526 0.0607 0.7499
Y 0.7474 0.5607 0.7501
Y 0.0001 0.8105 0.5000
Y 0.7474 0.5607 0.2499
Y 0.2526 0.0607 0.2501
Pb 0.0000 0.8106 0.0000
Pb 0.4999 0.3104 0.0000
Pb 0.7518 0.0607 0.7500
Pb 0.2482 0.5607 0.7500
Pb 0.5001 0.8104 0.5000
Pb 0.0000 0.3106 0.5000
Pb 0.2482 0.5607 0.2500
Pb 0.7518 0.0607 0.2500
Tm 0.5000 0.8105 0.0000
Tm 0.5000 0.3105 0.5000


First-principles (PBE) data for a relaxed structure of YTm3Pb2, as listed in Alexandria.

Properties
ΔE_f = -1.81 eV per formula unit
SG = C2/m
energy = -4.851 eV/atom
energy above the lowest structure with this stoichiometry = 0.088 eV per atom

abc: 4.5172 10.4793 9.5365
angles: 125.01 90.00 102.45
Atoms (fractional coordinates):
Y 0.8866 0.7732 0.8951
Y 0.1134 0.2268 0.1049
Tm 0.3083 0.6167 0.5077
Tm 0.9428 0.8856 0.5714
Tm 0.6440 0.2879 0.8009
Tm 0.3560 0.7121 0.1991
Tm 0.0572 0.1144 0.4286
Tm 0.6917 0.3833 0.4923
Pb 0.4935 0.9870 0.8315
Pb 0.5065 0.0130 0.1685
Pb 0.7522 0.5044 0.2197
Pb 0.2478 0.4956 0.7803


First-principles (PBE) data for a relaxed structure of Y2TmPb, as listed in Alexandria.

Properties
ΔE_f = -0.88 eV per formula unit
SG = P4/mmm
energy = -5.497 eV/atom
energy above the lowest structure with this stoichiometry = 0.048 eV per atom

abc: 3.6457 3.6457 9.1051
angles: 90.00 90.00 90.00
Atoms (fractional coordinates):
Pb 0.5000 0.5000 0.0000
Y 0.0000 0.0000 0.7630
Y 0.0000 0.0000 0.2370
Tm 0.5000 0.5000 0.5000


First-principles (PBE) data for a relaxed structure of YTmPb2, as listed in Alexandria.

Properties
ΔE_f = -1.63 eV per formula unit
SG = P4/mmm
energy = -4.997 eV/atom

abc: 4.3824 5.0601 5.0601
angles: 90.00 90.00 90.00
Atoms (fractional coordinates):
Pb 0.0000 0.0000 0.5000
Pb 0.0000 0.5000 0.0000
Y 0.5000 0.0000 0.0000
Tm 0.5000 0.5000 0.5000


First-principles (PBE) data for a relaxed structure of YTm3Pb3, as listed in Alexandria.

Properties
ΔE_f = -2.26 eV per formula unit
SG = R-3
energy = -4.751 eV/atom
energy above the lowest structure with this stoichiometry = 0.184 eV per atom

abc: 9.1122 9.1122 8.0319
angles: 55.44 55.44 60.00
Atoms (fractional coordinates):
Y 0.3306 0.3306 0.0083
Y 0.6694 0.6694 0.9917
Tm 0.3339 0.8347 0.7462
Tm 0.8347 0.0852 0.7462
Tm 0.0852 0.3339 0.7462
Tm 0.9148 0.6661 0.2538
Tm 0.1653 0.9148 0.2538
Tm 0.6661 0.1653 0.2538
Pb 0.3116 0.5292 0.2465
Pb 0.9127 0.3116 0.2465
Pb 0.5292 0.9127 0.2465
Pb 0.4708 0.0873 0.7535
Pb 0.0873 0.6884 0.7535
Pb 0.6884 0.4708 0.7535


First-principles (PBE) data for a relaxed structure of Y12Tm7Pb, as listed in Alexandria.

Properties
ΔE_f = 0.46 eV per formula unit
SG = R-3
energy = -5.606 eV/atom

abc: 8.7402 8.7402 8.7402
angles: 100.95 100.95 100.95
Atoms (fractional coordinates):
Y 0.7605 0.2395 0.5001
Y 0.7605 0.4999 0.2395
Y 0.3417 0.0803 0.3406
Y 0.9197 0.6594 0.6583
Y 0.4999 0.2395 0.7605
Y 0.6594 0.6583 0.9197
Y 0.3406 0.3417 0.0803
Y 0.5001 0.7605 0.2395
Y 0.0803 0.3406 0.3417
Y 0.6583 0.9197 0.6594
Y 0.2395 0.5001 0.7605
Y 0.2395 0.7605 0.4999
Tm 0.0986 0.6775 0.0989
Tm 0.3225 0.9011 0.9014
Tm 0.9011 0.9014 0.3225
Tm 0.5000 0.5000 0.5000
Tm 0.0989 0.0986 0.6775
Tm 0.6775 0.0989 0.0986
Tm 0.9014 0.3225 0.9011
Pb 0.0000 0.0000 0.0000


First-principles (PBE) data for a relaxed structure of YTmPb2, as listed in Alexandria.

Properties
ΔE_f = -1.32 eV per formula unit
SG = R3m
energy = -4.919 eV/atom

abc: 4.7536 4.7536 7.1042
angles: 70.45 70.45 60.00
Atoms (fractional coordinates):
Y 0.6717 0.6717 0.9849
Tm 0.4932 0.4932 0.5205
Pb 0.0856 0.0856 0.7433
Pb 0.2496 0.2496 0.2513


First-principles (PBE) data for a relaxed structure of YTm3Pb2, as listed in Alexandria.

Properties
ΔE_f = -2.34 eV per formula unit
SG = P-4m2
energy = -4.939 eV/atom
energy above the lowest structure with this stoichiometry = 0.000 eV per atom

abc: 4.5392 4.5392 8.4303
angles: 90.00 90.00 90.00
Atoms (fractional coordinates):
Y 0.5000 0.5000 0.0000
Tm 0.5000 0.0000 0.3392
Tm 0.0000 0.5000 0.6608
Tm 0.0000 0.0000 0.0000
Pb 0.5000 0.0000 0.7135
Pb 0.0000 0.5000 0.2865